1.
First-principles (PBE) data for a relaxed LaY4 crystal, as listed in Alexandria via LeMat-Bulk.

Total moment   0.000 μB per formula unit
ΔE_f   0.358 eV per atom

abc: 9.041 9.041 9.041
angles: 150.67 150.67 41.96
Fractional coordinates of all 5 atoms:
Y (0.250, 0.750, 0.500)
Y (0.595, 0.595, 0.000)
Y (0.750, 0.250, 0.500)
Y (0.405, 0.405, 0.000)
La (0.000, 0.000, 0.000)



2.
First-principles (PBE) data for a relaxed LaY2 crystal, as listed in Alexandria via LeMat-Bulk.

Total moment   0.000 μB per formula unit
ΔE_f   0.750 eV per atom

abc: 7.430 7.430 7.430
angles: 90.00 90.00 90.00
Fractional coordinates of all 12 atoms:
Y (0.652, 0.848, 0.152)
Y (0.152, 0.652, 0.848)
Y (0.348, 0.152, 0.848)
Y (0.848, 0.348, 0.152)
Y (0.652, 0.652, 0.652)
Y (0.348, 0.348, 0.348)
Y (0.152, 0.848, 0.348)
Y (0.848, 0.152, 0.652)
La (0.000, 0.500, 0.500)
La (0.000, 0.000, 0.000)
La (0.500, 0.000, 0.500)
La (0.500, 0.500, 0.000)



3.
First-principles (PBE) data for a relaxed LaY3 crystal, as listed in Alexandria via LeMat-Bulk.

Total moment   0.001 μB per formula unit
ΔE_f   0.027 eV per atom

abc: 3.637 5.078 8.106
angles: 90.00 63.35 90.00
Fractional coordinates of all 4 atoms:
Y (0.755, 0.500, 0.745)
Y (0.245, 0.500, 0.255)
Y (0.500, 0.000, 0.500)
La (0.000, 0.000, 0.000)



4.
First-principles (PBE) data for a relaxed LaY2 crystal, as listed in Alexandria via LeMat-Bulk.

Total moment   0.000 μB per formula unit
ΔE_f   0.216 eV per atom

abc: 6.386 6.386 6.386
angles: 115.22 106.68 106.68
Fractional coordinates of all 6 atoms:
La (0.000, 0.750, 0.750)
La (0.000, 0.250, 0.250)
Y (0.190, 0.845, 0.345)
Y (0.810, 0.155, 0.655)
Y (0.500, 0.345, 0.155)
Y (0.500, 0.655, 0.845)



5.
First-principles (PBE) data for a relaxed LaY3 crystal, as listed in Alexandria via LeMat-Bulk.

Total moment   0.007 μB per formula unit
ΔE_f   0.021 eV per atom

abc: 6.328 6.844 3.703
angles: 74.30 90.00 117.54
Fractional coordinates of all 4 atoms:
La (0.994, 0.000, 0.000)
Y (0.583, 0.494, 0.753)
Y (0.089, 0.506, 0.247)
Y (0.500, 0.000, 0.500)



6.
First-principles (PBE) data for a relaxed La2Y13 crystal, as listed in Alexandria via LeMat-Bulk.

Total moment   0.002 μB per formula unit
ΔE_f   0.061 eV per atom

abc: 6.711 9.029 9.073
angles: 114.49 82.16 98.47
Fractional coordinates of all 15 atoms:
Y (0.206, 0.791, 0.191)
Y (0.707, 0.635, 0.033)
Y (0.294, 0.028, 0.627)
Y (0.794, 0.209, 0.809)
Y (0.905, 0.450, 0.250)
Y (0.293, 0.365, 0.967)
Y (0.524, 0.167, 0.158)
Y (0.000, 0.000, 0.000)
Y (0.476, 0.833, 0.842)
Y (0.095, 0.550, 0.750)
Y (0.407, 0.598, 0.395)
Y (0.593, 0.402, 0.605)
Y (0.706, 0.972, 0.373)
La (0.125, 0.219, 0.407)
La (0.875, 0.781, 0.593)



7.
First-principles (PBE) data for a relaxed LaY3 crystal, as listed in Alexandria via LeMat-Bulk.

Total moment   0.164 μB per formula unit
ΔE_f   0.021 eV per atom

abc: 3.677 3.677 11.577
angles: 90.00 90.00 120.00
Fractional coordinates of all 4 atoms:
Y (0.000, 0.000, 0.500)
Y (0.333, 0.667, 0.257)
Y (0.333, 0.667, 0.743)
La (0.000, 0.000, 0.000)



8.
First-principles (PBE) data for a relaxed LaY2 crystal, as listed in Alexandria via LeMat-Bulk.

Total moment   0.000 μB per formula unit
ΔE_f   0.277 eV per atom

abc: 6.579 6.579 11.562
angles: 90.00 90.00 60.00
Fractional coordinates of all 12 atoms:
Y (0.000, 0.000, 0.500)
Y (0.833, 0.833, 0.750)
Y (0.167, 0.666, 0.250)
Y (0.000, 0.000, 0.000)
Y (0.167, 0.167, 0.250)
Y (0.833, 0.334, 0.750)
Y (0.334, 0.833, 0.750)
Y (0.666, 0.167, 0.250)
La (0.667, 0.667, 0.466)
La (0.333, 0.333, 0.534)
La (0.667, 0.667, 0.034)
La (0.333, 0.333, 0.966)



9.
First-principles (PBE) data for a relaxed La2Y3 crystal, as listed in Alexandria via LeMat-Bulk.

Total moment   0.000 μB per formula unit
ΔE_f   0.430 eV per atom

abc: 8.325 8.325 7.559
angles: 56.59 56.59 60.00
Fractional coordinates of all 10 atoms:
La (0.083, 0.083, 0.750)
La (0.583, 0.583, 0.250)
La (0.417, 0.417, 0.750)
La (0.917, 0.917, 0.250)
Y (0.250, 0.487, 0.250)
Y (0.513, 0.987, 0.750)
Y (0.987, 0.750, 0.750)
Y (0.487, 0.013, 0.250)
Y (0.013, 0.250, 0.250)
Y (0.750, 0.513, 0.750)



10.
First-principles (PBE) data for a relaxed La2Y5 crystal, as listed in Alexandria via LeMat-Bulk.

Total moment   0.000 μB per formula unit
ΔE_f   0.031 eV per atom

abc: 5.133 6.263 8.139
angles: 97.51 90.00 114.19
Fractional coordinates of all 7 atoms:
La (0.072, 0.144, 0.215)
La (0.928, 0.856, 0.785)
Y (0.213, 0.427, 0.643)
Y (0.356, 0.713, 0.071)
Y (0.500, 0.000, 0.500)
Y (0.787, 0.573, 0.357)
Y (0.644, 0.287, 0.929)



11.
First-principles (PBE) data for a relaxed LaY2 crystal, as listed in Alexandria via LeMat-Bulk.

Total moment   0.004 μB per formula unit
ΔE_f   0.096 eV per atom

abc: 4.194 6.552 4.194
angles: 71.33 90.00 108.67
Fractional coordinates of all 3 atoms:
Y (0.674, 0.348, 0.326)
Y (0.326, 0.652, 0.674)
La (0.000, 0.000, 0.000)



12.
First-principles (PBE) data for a relaxed LaY3 crystal, as listed in Alexandria via LeMat-Bulk.

Total moment   0.000 μB per formula unit
ΔE_f   0.034 eV per atom

abc: 5.150 6.239 5.150
angles: 65.62 90.00 114.38
Fractional coordinates of all 4 atoms:
Y (0.750, 0.500, 0.750)
Y (0.500, 0.000, 0.500)
Y (0.250, 0.500, 0.250)
La (0.000, 0.000, 0.000)